Compound: RbNiP2O
Source: the Alexandria database
Functional: PBE with a Hubbard U
Structure: relaxed

Cell and atoms, written as POSCAR:
```
RbNiP2O
1.0
5.386 0.000 0.000
0.000 5.386 0.000
0.000 0.000 4.288
Rb Ni P O
1 1 2 1
direct
0.000 0.000 0.000
0.500 0.500 0.500
0.000 0.500 0.000
0.500 0.000 0.000
0.000 0.000 0.500
```

relative energy among the computed polymorphs = 1621 meV/atom
space group = No. 123


Compound: RbNiP2O
Source: the Alexandria database
Functional: PBE with a Hubbard U
Structure: relaxed

Cell and atoms, written as POSCAR:
```
RbNiP2O
1.0
4.170 0.000 0.000
0.000 4.170 0.000
0.000 0.000 6.213
Rb Ni P O
1 1 2 1
direct
0.000 0.000 0.000
0.500 0.500 0.500
0.000 0.500 0.500
0.500 0.000 0.500
0.500 0.500 0.000
```

relative energy among the computed polymorphs = 0 meV/atom
space group = No. 123


Compound: RbNiPO4
Source: the Alexandria database
Functional: PBE with a Hubbard U
Structure: relaxed

Cell and atoms, written as POSCAR:
```
RbNiPO4
1.0
4.875 0.000 0.000
0.000 5.667 0.000
-2.075 0.000 7.533
Rb Ni P O
2 2 2 8
direct
0.213 0.250 0.117
0.787 0.750 0.883
0.137 0.750 0.512
0.863 0.250 0.488
0.379 0.250 0.696
0.621 0.750 0.304
0.164 0.033 0.679
0.164 0.467 0.679
0.394 0.750 0.129
0.486 0.250 0.528
0.514 0.750 0.472
0.606 0.250 0.871
0.836 0.533 0.321
0.836 0.967 0.321
```

E_tot = -84.3 eV for the cell shown
space group = No. 11


Q: Which formula does entry 1 have?
A: RbNiP2O